Record 1
The following is a PBE calculation of a geometry-optimized K3AcSm2Se6 structure, from the Alexandria database.

Unit cell a=7.6102 b=13.1833 c=8.1231 alpha=90.00 beta=108.23 gamma=90.00
Last column: nearest neighbours and their distance in Å.
Space group C2/m (No. 12)
Inequivalent atoms, fractional coordinates:
1 K 0.0000 0.0000 0.0000  6 Se 3.30-3.42
2 K 0.0000 0.3345 0.0000  6 Se 3.31-3.42
3 Ac 0.0000 0.5000 0.5000  6 Se 3.10-3.11
4 Sm 0.0000 0.1669 0.5000  6 Se 2.97-2.98
5 Se 0.2236 0.0000 0.7117  2 Sm 2.98, 1 Ac 3.11, 1 K 3.30
6 Se 0.2441 0.3265 0.7114  2 Sm 2.97, 1 Ac 3.10, 1 K 3.31

Values from the calculation:
As for the total magnetic moment: 0.00 μB/cell. The value obtained for the uncorrected energy is -4.918 eV per atom.

Record 2
The following is a PBE calculation of a geometry-optimized KAc2SmSe4 structure, from the Alexandria database.

Unit cell a=7.5780 b=4.3993 c=7.7526 alpha=90.00 beta=109.16 gamma=90.00
Last column: nearest neighbours and their distance in Å.
Space group P2/m (No. 10)
Inequivalent atoms, fractional coordinates:
1 K 0.0000 0.0000 0.0000  6 Se 3.13-3.16
2 Ac 0.5000 0.0000 0.5000  6 Se 3.09-3.12
3 Ac 0.5000 0.5000 0.0000  6 Se 3.21
4 Sm 0.0000 0.5000 0.5000  6 Se 3.04-3.05
5 Se 0.2380 0.0000 0.7372  2 Sm 3.05, 3 Ac 3.12-3.21, 1 K 3.13
6 Se 0.2489 0.5000 0.2618  1 Sm 3.04, 3 Ac 3.09-3.21, 2 K 3.16

Values from the calculation:
As for the total magnetic moment: 0.00 μB/cell. The value obtained for the uncorrected energy is -5.265 eV per atom.

Record 3
The following is a PBE calculation of a geometry-optimized K3Ac2SmSe6 structure, from the Alexandria database.

Unit cell a=20.1628 b=4.4875 c=9.3089 alpha=90.00 beta=106.08 gamma=90.00
Last column: nearest neighbours and their distance in Å.
Space group C2/m (No. 12)
Inequivalent atoms, fractional coordinates:
1 K 0.0000 0.0000 0.0000  6 Se 3.38-3.48
2 K 0.1664 0.5000 0.3334  6 Se 3.34-3.50
3 Ac 0.1644 0.5000 0.8286  6 Se 3.10-3.14
4 Sm 0.0000 0.0000 0.5000  6 Se 2.97-3.01
5 Se 0.0044 0.5000 0.7172  2 Sm 3.01, 1 Ac 3.10, 1 K 3.34
6 Se 0.1535 0.0000 0.5920  1 Sm 2.97, 2 Ac 3.11
7 Se 0.1733 0.0000 0.0667  3 Ac 3.12-3.14, 3 K 3.38

Values from the calculation:
As for the total magnetic moment: 0.00 μB/cell. The value obtained for the uncorrected energy is -4.884 eV per atom.

| no. | formation energy from raw total energies (eV per atom) |
| --- | --- |
| 1 | -1.772 |
| 2 | -1.769 |
| 3 | -1.789 |